[1]
DFT (GGA-PBE) results for an optimized crystal structure of Ce6GaTc2.

Energy above the most stable polymorph in this dataset, meV/atom: 0
ΔH_f (0 K), eV/atom: -0.2137
Total DFT energy (no corrections), eV/atom: -6.81
SG: C2/m (12)

Cell lengths 4.989, 5.621, 8.666 Å; angles 95.98, 90.00, 116.35 degrees
Fractional coordinates of all 9 atoms:
Tc  0.273  0.546  0.119
Ce  0.048  0.096  0.857
Ce  0.693  0.387  0.608
Ce  0.952  0.904  0.143
Tc  0.727  0.454  0.881
Ga  0.000  0.000  0.500
Ce  0.307  0.613  0.392
Ce  0.610  0.220  0.173
Ce  0.390  0.780  0.827

[2]
DFT (GGA-PBE) results for an optimized crystal structure of ErHfTi2.

ΔH_f (0 K), eV/atom: 0.1463
Total DFT energy (no corrections), eV/atom: -7.43
SG: P4/mmm (123)

Cell lengths 3.591, 3.591, 6.712 Å; angles 90.00, 90.00, 90.00 degrees
Fractional coordinates of all 4 atoms:
Hf  0.500  0.500  0.000
Ti  0.000  0.000  0.205
Ti  0.000  0.000  0.795
Er  0.500  0.500  0.500

[3]
DFT (GGA-PBE) results for an optimized crystal structure of V3Pt8.

ΔH_f (0 K), eV/atom: 0.0510
Total DFT energy (no corrections), eV/atom: -6.83
SG: R-3 (148)

Cell lengths 6.125, 6.125, 6.125 Å; angles 107.59, 107.59, 107.59 degrees
Fractional coordinates of all 11 atoms:
Pt  0.300  0.300  0.300
V  0.500  0.000  0.500
Pt  0.324  0.011  0.820
Pt  0.700  0.700  0.700
Pt  0.011  0.820  0.324
Pt  0.676  0.989  0.180
Pt  0.989  0.180  0.676
V  0.000  0.500  0.500
Pt  0.180  0.676  0.989
Pt  0.820  0.324  0.011
V  0.500  0.500  0.000

Results for DOS at the Fermi energy: 17.40; 5.50; 13.42 (in states/eV/f.u., following the order of the records).